! CaV2SeF, relaxed, DFT PBE with a Hubbard U; values from VASP
&SYSTEM
  ibrav = 0, nat = 5, ntyp = 4
/
ATOMIC_SPECIES
V 50.94 V.upf
F 19.00 F.upf
Se 78.96 Se.upf
Ca 40.08 Ca.upf
ATOMIC_POSITIONS crystal
V 0.5000 0.0000 0.0000
V 0.0000 0.0000 0.5000
F 0.5000 0.5000 0.5000
Se 0.0000 0.0000 0.0000
Ca 0.0000 0.5000 0.0000
CELL_PARAMETERS angstrom
-4.4914 -0.4434 1.7165
-1.2934 -3.6955 -4.3388
1.4146 -3.7144 2.7419
! E   -22.34 eV/cell